[1]
The following is a PBE-GGA calculation of a relaxed structure of BaYFe2I, from Alexandria via LeMat-Bulk.

Computed properties:
Raw formation energy (eV/atom): 1.094
Theoretical density (kg/m3): 5830
Density of states at the Fermi level (states/eV/cell): 10.7
Symmetry: P4/mmm, No. 123

Cell and atoms, written as extended XYZ:
```
5
Lattice="-0.196 1.864 4.491 -4.910 -2.538 0.839 2.319 -3.915 1.726" Properties=species:S:1:pos:R:3 pbc="T T T"
I 0.000 0.000 0.000
Y -2.455 -1.269 0.420
Ba -1.394 -2.294 3.528
Fe 1.159 -1.957 0.863
Fe -0.098 0.932 2.245
```

[2]
The following is a PBE-GGA calculation of a relaxed structure of Tl2InO4, from Alexandria via LeMat-Bulk.

Computed properties:
Raw formation energy (eV/atom): -0.882
Theoretical density (kg/m3): 8896
ΔE to the lowest computed polymorph (eV per formula unit): 0.62
Density of states at the Fermi level (states/eV/cell): 3.7
Symmetry: Pbam, No. 55

Cell and atoms, written as extended XYZ:
```
14
Lattice="-3.316 -0.720 -1.005 1.720 0.048 -5.712 2.048 -10.172 0.531" Properties=species:S:1:pos:R:3 pbc="T T T"
Tl 0.731 -3.640 -6.036
Tl 0.898 -8.750 -2.924
Tl -0.445 -2.093 -3.262
Tl -0.279 -7.203 -0.150
In 1.884 -5.062 -2.591
In 0.000 0.000 0.000
O 3.015 -8.823 -3.626
O 1.660 -6.389 -0.898
O 0.067 -1.494 -5.383
O -0.243 -4.253 -2.384
O 0.695 -6.591 -3.802
O 0.385 -9.349 -0.804
O 2.109 -3.734 -4.284
O 0.754 -1.300 -1.556
```

[3]
The following is a PBE-GGA calculation of a relaxed structure of KCuSb3F18, from Alexandria via LeMat-Bulk.

Computed properties:
Raw formation energy (eV/atom): -2.292
Theoretical density (kg/m3): 3359
Density of states at the Fermi level (states/eV/cell): 13.2
Symmetry: Pnma, No. 62

Cell and atoms, written as extended XYZ:
```
92
Lattice="9.908 0.000 0.000 0.000 11.100 0.000 0.000 0.000 14.564" Properties=species:S:1:pos:R:3 pbc="T T T"
K 5.273 10.173 10.923
K 9.589 4.624 10.923
K 4.635 0.926 3.641
K 0.319 6.476 3.641
Cu 0.000 0.000 7.282
Cu 4.954 5.550 0.000
Cu 0.000 0.000 0.000
Cu 4.954 5.550 7.282
Sb 0.992 0.252 10.923
Sb 3.963 5.802 10.923
Sb 8.917 10.848 3.641
Sb 5.946 5.298 3.641
Sb 6.906 2.179 7.993
Sb 7.956 7.729 13.853
Sb 3.002 8.920 0.711
Sb 1.952 3.371 6.571
Sb 3.002 8.920 6.571
Sb 1.952 3.371 0.711
Sb 6.906 2.179 13.853
Sb 7.956 7.729 7.993
F 1.021 0.310 8.944
F 3.933 5.860 12.902
F 8.887 10.790 1.662
F 5.975 5.240 5.620
F 8.887 10.790 5.620
F 5.975 5.240 1.662
F 1.021 0.310 12.902
F 3.933 5.860 8.944
F 1.188 9.473 10.923
F 3.766 3.923 10.923
F 8.720 1.626 3.641
F 6.142 7.176 3.641
F 2.885 0.434 10.923
F 2.069 5.984 10.923
F 7.023 10.666 3.641
F 7.840 5.116 3.641
F 0.825 2.150 10.923
F 4.129 7.700 10.923
F 9.083 8.950 3.641
F 5.779 3.400 3.641
F 9.011 0.083 10.923
F 5.851 5.633 10.923
F 0.897 11.017 3.641
F 4.057 5.467 3.641
F 8.286 0.722 8.048
F 6.576 6.272 13.798
F 1.622 10.378 0.766
F 3.332 4.828 6.516
F 1.622 10.378 6.516
F 3.332 4.828 0.766
F 8.286 0.722 13.798
F 6.576 6.272 8.048
F 7.922 3.123 6.703
F 6.940 8.673 0.579
F 1.986 7.976 13.985
F 2.968 2.427 7.861
F 1.986 7.976 7.861
F 2.968 2.427 13.985
F 7.922 3.123 0.579
F 6.940 8.673 6.703
F 6.000 1.260 6.595
F 8.862 6.810 0.687
F 3.908 9.840 13.877
F 1.046 4.290 7.969
F 3.908 9.840 7.969
F 1.046 4.290 13.877
F 6.000 1.260 0.687
F 8.862 6.810 6.595
F 5.570 3.573 8.065
F 9.292 9.123 13.781
F 4.338 7.527 0.783
F 0.616 1.977 6.499
F 4.338 7.527 6.499
F 0.616 1.977 0.783
F 5.570 3.573 13.781
F 9.292 9.123 8.065
F 5.977 1.142 9.292
F 8.885 6.692 12.554
F 3.931 9.957 2.010
F 1.023 4.407 5.272
F 3.931 9.957 5.272
F 1.023 4.407 2.010
F 5.977 1.142 12.554
F 8.885 6.692 9.292
F 7.900 3.033 9.383
F 6.962 8.583 12.463
F 2.008 8.067 2.101
F 2.946 2.517 5.181
F 2.008 8.067 5.181
F 2.946 2.517 2.101
F 7.900 3.033 12.463
F 6.962 8.583 9.383
```

[4]
The following is a PBE-GGA calculation of a relaxed structure of Pm7TmCd2, from Alexandria via LeMat-Bulk.

Computed properties:
Theoretical density (kg/m3): 6032
Density of states at the Fermi level (states/eV/cell): 17.7
Symmetry: Cmmm, No. 65
Energy relative to the elements (meV/atom): 382

Cell and atoms, written as extended XYZ:
```
10
Lattice="-0.922 -2.153 -4.750 8.130 -4.463 0.444 -7.845 -3.772 3.232" Properties=species:S:1:pos:R:3 pbc="T T T"
Pm 4.610 -4.310 1.058
Pm -4.325 -3.924 2.618
Pm -2.256 -2.505 -1.379
Pm 1.620 -7.882 0.305
Pm 1.439 -2.664 -2.024
Pm -2.075 -7.723 0.950
Pm -0.318 -5.194 -0.537
Tm 0.000 0.000 0.000
Cd 2.820 -5.329 -1.085
Cd -3.457 -5.058 0.011
```

[5]
The following is a PBE-GGA calculation of a relaxed structure of ZnIrCl3, from Alexandria via LeMat-Bulk.

Computed properties:
Raw formation energy (eV/atom): 0.096
Theoretical density (kg/m3): 5376
ΔE to the lowest computed polymorph (eV per formula unit): 0.00
Density of states at the Fermi level (states/eV/cell): 3.8
Symmetry: Pm-3m, No. 221

Cell and atoms, written as extended XYZ:
```
5
Lattice="-0.849 4.728 -0.464 -4.431 -0.958 -1.655 -1.713 0.135 4.510" Properties=species:S:1:pos:R:3 pbc="T T T"
Zn -3.497 1.952 1.196
Ir 0.000 0.000 0.000
Cl -2.216 -0.479 -0.827
Cl -0.857 0.067 2.255
Cl -0.425 2.364 -0.232
```

[6]
The following is a PBE-GGA calculation of a relaxed structure of CsCuGe2, from Alexandria via LeMat-Bulk.

Computed properties:
Theoretical density (kg/m3): 5727
ΔE to the lowest computed polymorph (eV per formula unit): 3.38
Density of states at the Fermi level (states/eV/cell): 1.5
Symmetry: Fm-3m, No. 225
Energy relative to the elements (meV/atom): 796

Cell and atoms, written as extended XYZ:
```
4
Lattice="0.000 3.673 3.673 3.673 0.000 3.673 3.673 3.673 0.000" Properties=species:S:1:pos:R:3 pbc="T T T"
Cs 3.673 3.673 3.673
Ge 1.836 1.836 1.836
Ge 5.509 5.509 5.509
Cu 0.000 0.000 0.000
```

[7]
The following is a PBE-GGA calculation of a relaxed structure of In2OsCl, from Alexandria via LeMat-Bulk.

Computed properties:
Raw formation energy (eV/atom): 0.612
Theoretical density (kg/m3): 5927
ΔE to the lowest computed polymorph (eV per formula unit): 2.35
Density of states at the Fermi level (states/eV/cell): 7.7
Symmetry: I-42d, No. 122

Cell and atoms, written as extended XYZ:
```
8
Lattice="-0.199 -5.266 3.347 1.840 -3.249 -5.003 7.072 -3.390 0.908" Properties=species:S:1:pos:R:3 pbc="T T T"
Cl 0.821 -4.258 -0.828
Cl 4.866 -5.449 -2.462
Os 0.000 0.000 0.000
Os 3.847 -6.457 1.714
In 1.864 -4.798 1.854
In 2.903 -3.284 -2.642
In 5.831 -5.580 0.300
In 6.829 -10.150 -1.008
```

[8]
The following is a PBE-GGA calculation of a relaxed structure of CrIn2Os2, from Alexandria via LeMat-Bulk.

Computed properties:
Theoretical density (kg/m3): 12482
ΔE to the lowest computed polymorph (eV per formula unit): 1.14
Density of states at the Fermi level (states/eV/cell): 12.7
Symmetry: P4/mbm, No. 127
Energy relative to the elements (meV/atom): 1052

Cell and atoms, written as extended XYZ:
```
10
Lattice="-6.232 3.558 2.700 -4.438 -4.416 -4.426 -0.195 -2.017 2.208" Properties=species:S:1:pos:R:3 pbc="T T T"
Cr 0.000 0.000 0.000
Cr -5.335 -0.429 -0.863
Os -4.062 -3.357 -1.391
Os -7.945 -2.342 -0.807
Os -6.804 0.482 1.873
Os -2.920 -0.533 1.289
In -6.091 -2.520 -2.839
In -8.205 0.256 -0.490
In -4.580 1.661 1.113
In -2.465 -1.114 -1.235
```

[9]
The following is a PBE-GGA calculation of a relaxed structure of Ni2IrAu, from Alexandria via LeMat-Bulk.

Computed properties:
Theoretical density (kg/m3): 15360
ΔE to the lowest computed polymorph (eV per formula unit): 0.77
Density of states at the Fermi level (states/eV/cell): 4.7
Symmetry: Fm-3m, No. 225
Energy relative to the elements (meV/atom): 263

Cell and atoms, written as extended XYZ:
```
4
Lattice="-4.038 -1.248 0.555 -2.665 2.379 2.326 -3.168 2.127 -1.899" Properties=species:S:1:pos:R:3 pbc="T T T"
Ni -2.468 0.814 0.246
Ni -7.403 2.443 0.737
Ir 0.000 0.000 0.000
Au -4.936 1.629 0.491
```

[10]
The following is a PBE-GGA calculation of a relaxed structure of CoHg2Se, from Alexandria via LeMat-Bulk.

Computed properties:
Raw formation energy (eV/atom): 0.114
Theoretical density (kg/m3): 10760
Density of states at the Fermi level (states/eV/cell): 2.4
Symmetry: Imm2, No. 44

Cell and atoms, written as extended XYZ:
```
4
Lattice="6.623 0.004 -0.003 4.311 5.028 0.003 -4.971 -3.594 2.498" Properties=species:S:1:pos:R:3 pbc="T T T"
Co 2.613 2.072 1.250
Hg 0.790 0.364 0.000
Hg 3.474 -0.576 1.248
Se 4.553 2.095 0.000
```

[11]
The following is a PBE-GGA calculation of a relaxed structure of HfN, from Alexandria via LeMat-Bulk.

Computed properties:
Raw formation energy (eV/atom): -1.342
Theoretical density (kg/m3): 10462
Density of states at the Fermi level (states/eV/cell): 5.2
Symmetry: Amm2, No. 38

Cell and atoms, written as extended XYZ:
```
12
Lattice="3.160 0.000 0.000 0.000 9.733 0.000 0.000 0.000 5.960" Properties=species:S:1:pos:R:3 pbc="T T T"
Hf 0.000 2.848 5.042
Hf 0.000 6.886 5.042
Hf 0.000 7.714 2.062
Hf 0.000 2.019 2.062
Hf 1.580 0.000 3.989
Hf 1.580 4.867 1.009
N 1.580 7.451 3.620
N 1.580 2.283 3.620
N 1.580 2.584 0.639
N 1.580 7.150 0.639
N 0.000 0.000 2.539
N 0.000 4.867 5.519
```

[12]
The following is a PBE-GGA calculation of a relaxed structure of Pa2VFeN5, from Alexandria via LeMat-Bulk.

Computed properties:
Raw formation energy (eV/atom): -1.122
Theoretical density (kg/m3): 10395
Density of states at the Fermi level (states/eV/cell): 8.9
Symmetry: Cmc2_1, No. 36

Cell and atoms, written as extended XYZ:
```
18
Lattice="3.225 0.000 0.000 -1.613 6.364 0.000 0.000 0.000 9.945" Properties=species:S:1:pos:R:3 pbc="T T T"
Pa 1.613 4.505 8.043
Pa 0.000 1.347 6.747
Pa 0.000 1.858 3.070
Pa 1.613 5.016 1.775
V 1.613 3.887 5.076
V 0.000 2.477 0.103
Fe 1.613 0.468 9.496
Fe 0.000 5.895 4.524
N 0.000 4.677 9.913
N 1.613 2.279 8.713
N 0.000 6.232 7.691
N 0.000 3.588 6.549
N 1.613 5.652 5.635
N 1.613 1.687 4.941
N 0.000 4.085 3.741
N 1.613 0.131 2.719
N 1.613 2.776 1.577
N 0.000 0.712 0.662
```